This record from Alexandria via LeMat-Bulk describes a geometry-optimized TbAlHg structure. The functional is PBE.

## Properties
The energy above the most stable polymorph in this dataset is 129 meV per atom. The value obtained for the formation energy from the elements is -33 kJ/mol of atoms. The size of the total moment is 0.000 μB/cell.

Cell lengths 4.7589, 4.7589, 4.7589 Å; angles 60.00, 60.00, 60.00 degrees
Closest atoms and distances in Å follow each position.
Positions (direct):
Tb1 0.5000 0.5000 0.5000  4 Hg 2.91
Al1 0.0000 0.0000 0.0000  4 Hg 2.91
Hg1 0.2500 0.2500 0.2500  4 Tb 2.91, 4 Al 2.91